Record 1
Mg3ScCd2: relaxed, PBE.

The structure belongs to space group C2/m (No. 12); the cell edges are 14.901, 4.940 and 8.727 Å and the angles 90.00°, 122.62° and 90.00°. The asymmetric unit holds Mg at (0.001, 0.000, 0.173), Mg at (0.126, 0.500, 0.125), Mg at (0.247, 0.500, 0.911), Sc at (0.123, 0.000, 0.617), Cd at (0.006, 0.500, 0.668) and Cd at (0.245, 0.500, 0.583).

The value obtained for the density of states at the Fermi level is 0.6864 states/eV per atom. The value obtained for the polymorph energy (0 for the lowest one) is 48.7 meV per atom. The calculation puts the density at 4.2 g/cm3. The spin magnetization is 0.00 μB/f.u.

Record 2
ErTmPd4: relaxed, PBE.

The structure belongs to space group F-43m (No. 216); the cell edges are 7.662, 7.662 and 7.662 Å and the angles 90.00°, 90.00° and 90.00°. The asymmetric unit holds Er at (0.000, 0.000, 0.000), Tm at (0.250, 0.250, 0.750) and Pd at (0.125, 0.125, 0.375).

The value obtained for the density of states at the Fermi level is 0.6040 states/eV per atom. The value obtained for the polymorph energy (0 for the lowest one) is 0.0 meV per atom. The calculation puts the density at 11.3 g/cm3. The spin magnetization is 0.00 μB/f.u.

Record 3
SmNbBi2: relaxed, PBE.

The structure belongs to space group R-3m (No. 166, hexagonal axes); the cell edges are 3.5515, 3.5515 and 32.3010 Å and the angles 90.00°, 90.00° and 120.00°. The asymmetric unit holds Sm at (0.0000, 0.0000, 0.0000), Nb at (0.0000, 0.0000, 0.5000) and Bi at (0.0000, 0.0000, 0.1011).

The raw total energy is -5.496 eV per atom. The value obtained for the density of states at the Fermi level is 0.9988 states/eV per atom. The calculation puts the density at 9.3 g/cm3. The spin magnetization is 0.00 μB/f.u.

- Which formula does entry 3 have?
  SmNbBi2

Repeat the third record exactly.
SmNbBi2: relaxed, PBE.

The structure belongs to space group R-3m (No. 166, hexagonal axes); the cell edges are 3.5515, 3.5515 and 32.3010 Å and the angles 90.00°, 90.00° and 120.00°. The asymmetric unit holds Sm at (0.0000, 0.0000, 0.0000), Nb at (0.0000, 0.0000, 0.5000) and Bi at (0.0000, 0.0000, 0.1011).

The raw total energy is -5.496 eV per atom. The value obtained for the density of states at the Fermi level is 0.9988 states/eV per atom. The calculation puts the density at 9.3 g/cm3. The spin magnetization is 0.00 μB/f.u.

Repeat the first record exactly.
Mg3ScCd2: relaxed, PBE.

The structure belongs to space group C2/m (No. 12); the cell edges are 14.901, 4.940 and 8.727 Å and the angles 90.00°, 122.62° and 90.00°. The asymmetric unit holds Mg at (0.001, 0.000, 0.173), Mg at (0.126, 0.500, 0.125), Mg at (0.247, 0.500, 0.911), Sc at (0.123, 0.000, 0.617), Cd at (0.006, 0.500, 0.668) and Cd at (0.245, 0.500, 0.583).

The value obtained for the density of states at the Fermi level is 0.6864 states/eV per atom. The value obtained for the polymorph energy (0 for the lowest one) is 48.7 meV per atom. The calculation puts the density at 4.2 g/cm3. The spin magnetization is 0.00 μB/f.u.